No. 1
The following is a SCAN calculation of a PBEsol-optimized structure of Ag3BSe, from the Alexandria database.

Computed properties:
ΔE_f (raw) = 0.62 eV/atom
magnetic moment = 0.002 μB/f.u.

Structure (CIF):
```
data_Ag3BSe
_space_group_name_H-M_alt 'P m -3 m'
_space_group_IT_number 221
_space_group_name_Hall '-P 4 2 3'
_cell_length_a 4.365
_cell_length_b 4.365
_cell_length_c 4.365
_cell_angle_alpha 90.00
_cell_angle_beta 90.00
_cell_angle_gamma 90.00
loop_
_atom_site_label
_atom_site_type_symbol
_atom_site_fract_x
_atom_site_fract_y
_atom_site_fract_z
Ag1 Ag 0.000 0.000 0.500
B1 B 0.000 0.000 0.000
Se1 Se 0.500 0.500 0.500
```

---

No. 2
The following is a SCAN calculation of a PBEsol-optimized structure of LiMnS2N, from the Alexandria database.

Computed properties:
ΔE_f (raw) = -0.21 eV/atom
magnetic moment = 1.222 μB/f.u.

Structure (CIF):
```
data_LiMnS2N
_space_group_name_H-M_alt 'P 4/m m m'
_space_group_IT_number 123
_space_group_name_Hall '-P 4 2'
_cell_length_a 4.658
_cell_length_b 4.658
_cell_length_c 3.409
_cell_angle_alpha 90.00
_cell_angle_beta 90.00
_cell_angle_gamma 90.00
loop_
_atom_site_label
_atom_site_type_symbol
_atom_site_fract_x
_atom_site_fract_y
_atom_site_fract_z
Li1 Li 0.000 0.000 0.000
Mn1 Mn 0.500 0.500 0.500
S1 S 0.000 0.500 0.500
N1 N 0.500 0.500 0.000
```

---

No. 3
The following is a SCAN calculation of a PBEsol-optimized structure of Rb2LiErCl6, from the Alexandria database.

Computed properties:
ΔE_f (raw) = -2.35 eV/atom
magnetic moment = 0.000 μB/f.u.

Structure (CIF):
```
data_Rb2LiErCl6
_space_group_name_H-M_alt 'F m -3 m'
_space_group_IT_number 225
_space_group_name_Hall '-F 4 2 3'
_cell_length_a 10.198
_cell_length_b 10.198
_cell_length_c 10.198
_cell_angle_alpha 90.00
_cell_angle_beta 90.00
_cell_angle_gamma 90.00
loop_
_atom_site_label
_atom_site_type_symbol
_atom_site_fract_x
_atom_site_fract_y
_atom_site_fract_z
Rb1 Rb 0.250 0.250 0.250
Li1 Li 0.000 0.000 0.000
Er1 Er 0.000 0.000 0.500
Cl1 Cl 0.000 0.000 0.248
```

---

No. 4
The following is a SCAN calculation of a PBEsol-optimized structure of KTl2In, from the Alexandria database.

Computed properties:
energy relative to the elements = -0.16 eV per atom
magnetic moment = 0.000 μB/f.u.

Structure (CIF):
```
data_KTl2In
_space_group_name_H-M_alt 'P 1 2/m 1'
_space_group_IT_number 10
_cell_length_a 3.419
_cell_length_b 4.792
_cell_length_c 7.503
_cell_angle_alpha 90.00
_cell_angle_beta 101.36
_cell_angle_gamma 90.00
loop_
_space_group_symop_operation_xyz
'x,y,z'
'-x,-y,-z'
'-x,y,-z'
'x,-y,z'
loop_
_atom_site_label
_atom_site_type_symbol
_atom_site_fract_x
_atom_site_fract_y
_atom_site_fract_z
K1 K 0.000 0.000 0.000
Tl1 Tl 0.407 0.500 0.711
In1 In 0.000 0.000 0.500
```